Entry 1:
VASP calculation (PBE) on a relaxed Re3SiAs crystal.

Raw formation energy: 7.3 eV/f.u.
Relative energy among the computed polymorphs: 0 meV per atom
Magnetic moment: 0.0 μB per formula unit
Space group: Pm-3m, No. 221

abc: 4.4635 4.4635 4.4635
angles: 90.00 90.00 90.00
Closest atoms and distances in Å follow each position.
Element x y z (fractional)
Re (0.0000, 0.0000, 0.5000)  2 Si 2.23
Re (0.0000, 0.5000, 0.0000)  2 Si 2.23
Re (0.5000, 0.0000, 0.0000)  2 Si 2.23
Si (0.0000, 0.0000, 0.0000)  6 Re 2.23
As (0.5000, 0.5000, 0.5000)  12 Re 3.16

***

Entry 2:
VASP calculation (PBE) on a relaxed Rb3Nb2PbO8 crystal.

Raw formation energy: -28.4 eV/f.u.
Magnetic moment: 0.7 μB per formula unit
Space group: P-3m1, No. 164

abc: 6.3493 6.3493 8.0768
angles: 90.00 90.00 120.00
Closest atoms and distances in Å follow each position.
Element x y z (fractional)
Rb (0.0000, 0.0000, 0.0000)  6 O 3.20
Rb (0.3333, 0.6667, 0.6838)  1 O 2.68
Rb (0.6667, 0.3333, 0.3162)  1 O 2.68
Nb (0.3333, 0.6667, 0.2406)  4 O 1.82-1.90
Nb (0.6667, 0.3333, 0.7594)  4 O 1.82-1.90
Pb (0.0000, 0.0000, 0.5000)  6 O 2.37
O (0.1709, 0.3417, 0.3207)  1 Nb 1.90
O (0.1709, 0.8291, 0.3207)  1 Nb 1.90
O (0.3333, 0.6667, 0.0157)  1 Nb 1.82
O (0.3417, 0.1709, 0.6793)  1 Nb 1.90
O (0.6583, 0.8291, 0.3207)  1 Nb 1.90
O (0.6667, 0.3333, 0.9843)  1 Nb 1.82
O (0.8291, 0.1709, 0.6793)  1 Nb 1.90
O (0.8291, 0.6583, 0.6793)  1 Nb 1.90

***

Entry 3:
VASP calculation (PBE) on a relaxed FeSiTe2 crystal.

Raw formation energy: 0.4 eV/f.u.
Magnetic moment: 0.0 μB per formula unit
Space group: P2/m, No. 10

abc: 4.3858 3.8685 5.8528
angles: 90.00 99.17 90.00
Closest atoms and distances in Å follow each position.
Element x y z (fractional)
Fe (0.0000, 0.0000, 0.0000)  2 Si 2.19
Si (0.5000, 0.0000, 0.0000)  2 Fe 2.19
Te (0.1668, 0.5000, 0.2760)  2 Fe 2.55
Te (0.8332, 0.5000, 0.7240)  2 Fe 2.55

***

Entry 4:
VASP calculation (PBE) on a relaxed Ac4NiTe2N crystal.

Raw formation energy: -7.8 eV/f.u.
Magnetic moment: 0.0 μB per formula unit
Space group: P2/m, No. 10

abc: 7.7348 4.1474 8.1752
angles: 90.00 109.08 90.00
Closest atoms and distances in Å follow each position.
Element x y z (fractional)
Ac (0.2038, 0.0000, 0.1947)  2 N 2.77
Ac (0.2734, 0.5000, 0.7917)  2 Ni 2.88, 1 N 3.12
Ac (0.7266, 0.5000, 0.2083)  2 Ni 2.88, 1 N 3.12
Ac (0.7962, 0.0000, 0.8053)  2 N 2.77
Ni (0.5000, 0.0000, 0.0000)  6 Ac 2.88-3.19
Te (0.0000, 0.0000, 0.5000)  6 Ac 3.34-3.36
Te (0.5000, 0.5000, 0.5000)  6 Ac 3.39-3.47
N (0.0000, 0.5000, 0.0000)  4 Ac 2.77

***

Entry 5:
VASP calculation (PBE) on a relaxed ReAg2Os crystal.

Relative energy among the computed polymorphs: 500 meV per atom
E_form: 0.7796 eV per atom
Magnetic moment: 0.0 μB per formula unit
Space group: I-4m2, No. 119

abc: 4.7594 4.7594 4.7594
angles: 129.30 129.30 74.53
Closest atoms and distances in Å follow each position.
Element x y z (fractional)
Re (0.0000, 0.0000, 0.0000)  4 Os 2.78, 8 Ag 2.78-2.88
Ag (0.2500, 0.7500, 0.5000)  4 Re 2.78, 4 Ag 2.78, 4 Os 2.88
Ag (0.5000, 0.5000, 0.0000)  4 Os 2.78, 4 Ag 2.78, 4 Re 2.88
Os (0.7500, 0.2500, 0.5000)  4 Re 2.78, 8 Ag 2.78-2.88

***

Entry 6:
VASP calculation (PBE) on a relaxed BaTe2As crystal.

Raw formation energy: -2.1 eV/f.u.
Magnetic moment: 0.0 μB per formula unit
Space group: I-42d, No. 122

abc: 9.3983 9.3983 9.3983
angles: 138.23 138.23 60.55
Closest atoms and distances in Å follow each position.
Element x y z (fractional)
Ba (0.0000, 0.0000, 0.0000)  4 Te 3.44
Ba (0.7500, 0.2500, 0.5000)  4 Te 3.44
Te (0.2062, 0.6250, 0.0812)  2 As 2.86
Te (0.3750, 0.4562, 0.5812)  2 As 2.86
Te (0.5438, 0.1250, 0.9188)  2 As 2.86
Te (0.8750, 0.7938, 0.4188)  2 As 2.86
As (0.2500, 0.7500, 0.5000)  4 Te 2.86
As (0.5000, 0.5000, 0.0000)  4 Te 2.86

***

Entry 7:
VASP calculation (PBE) on a relaxed VFeNi3 crystal.

Relative energy among the computed polymorphs: 0 meV per atom
E_form: 0.0955 eV per atom
Magnetic moment: 2.8 μB per formula unit
Space group: C2/c, No. 15

abc: 7.1020 7.1020 4.7344
angles: 95.04 95.04 83.71
Closest atoms and distances in Å follow each position.
Element x y z (fractional)
V (0.0570, 0.9430, 0.7500)  4 Ni 2.48-2.51, 5 V 2.52-2.77, 2 Fe 2.73
V (0.2090, 0.7910, 0.2500)  4 Ni 2.35-2.48, 2 Fe 2.36, 1 V 2.52
V (0.7910, 0.2090, 0.7500)  4 Ni 2.35-2.48, 2 Fe 2.36, 1 V 2.52
V (0.9430, 0.0570, 0.2500)  4 Ni 2.48-2.51, 5 V 2.52-2.77, 2 Fe 2.73
Fe (0.2168, 0.5830, 0.8340)  1 Fe 2.35, 1 V 2.36, 6 Ni 2.37-2.52
Fe (0.4170, 0.7832, 0.6660)  1 Fe 2.35, 1 V 2.36, 6 Ni 2.37-2.52
Fe (0.5830, 0.2168, 0.3340)  1 Fe 2.35, 1 V 2.36, 6 Ni 2.37-2.52
Fe (0.7832, 0.4170, 0.1660)  1 Fe 2.35, 1 V 2.36, 6 Ni 2.37-2.52
Ni (0.0321, 0.3424, 0.5498)  4 Ni 2.32-2.49, 2 V 2.35-2.48, 2 Fe 2.47-2.50
Ni (0.1077, 0.3029, 0.0436)  4 Ni 2.39-2.49, 2 Fe 2.46-2.52, 2 V 2.51-2.66
Ni (0.3029, 0.1077, 0.5436)  4 Ni 2.39-2.49, 2 Fe 2.46-2.52, 2 V 2.51-2.66
Ni (0.3327, 0.4660, 0.3728)  3 Fe 2.37-2.64, 4 Ni 2.44-2.64, 1 V 2.48
Ni (0.3424, 0.0321, 0.0498)  4 Ni 2.32-2.49, 2 V 2.35-2.48, 2 Fe 2.47-2.50
Ni (0.4660, 0.3327, 0.8728)  3 Fe 2.37-2.64, 4 Ni 2.44-2.64, 1 V 2.48
Ni (0.5340, 0.6673, 0.1272)  3 Fe 2.37-2.64, 4 Ni 2.44-2.64, 1 V 2.48
Ni (0.6576, 0.9679, 0.9502)  4 Ni 2.32-2.49, 2 V 2.35-2.48, 2 Fe 2.47-2.50
Ni (0.6673, 0.5340, 0.6272)  3 Fe 2.37-2.64, 4 Ni 2.44-2.64, 1 V 2.48
Ni (0.6971, 0.8923, 0.4564)  4 Ni 2.39-2.49, 2 Fe 2.46-2.52, 2 V 2.51-2.66
Ni (0.8923, 0.6971, 0.9564)  4 Ni 2.39-2.49, 2 Fe 2.46-2.52, 2 V 2.51-2.66
Ni (0.9679, 0.6576, 0.4502)  4 Ni 2.32-2.49, 2 V 2.35-2.48, 2 Fe 2.47-2.50

***

Entry 8:
VASP calculation (PBE) on a relaxed Lu2InGa crystal.

Relative energy among the computed polymorphs: 24 meV per atom
E_form: -0.4458 eV per atom
Magnetic moment: 0.0 μB per formula unit
Space group: Fm-3m, No. 225

abc: 5.1033 5.1033 5.1033
angles: 60.00 60.00 60.00
Closest atoms and distances in Å follow each position.
Element x y z (fractional)
Lu (0.2500, 0.2500, 0.2500)  4 In 3.13, 4 Ga 3.13
Lu (0.7500, 0.7500, 0.7500)  4 In 3.13, 4 Ga 3.13
In (0.0000, 0.0000, 0.0000)  8 Lu 3.13
Ga (0.5000, 0.5000, 0.5000)  8 Lu 3.13

***

Entry 9:
VASP calculation (PBE) on a relaxed Nd2DyZn3 crystal.

Relative energy among the computed polymorphs: 2 meV per atom
E_form: -0.3140 eV per atom
Magnetic moment: 0.0 μB per formula unit
Space group: P4/mmm, No. 123

abc: 3.6376 3.6376 10.9969
angles: 90.00 90.00 90.00
Closest atoms and distances in Å follow each position.
Element x y z (fractional)
Nd (0.0000, 0.0000, 0.1707)  8 Zn 3.18-3.21
Nd (0.0000, 0.0000, 0.8293)  8 Zn 3.18-3.21
Dy (0.0000, 0.0000, 0.5000)  8 Zn 3.08
Zn (0.5000, 0.5000, 0.0000)  8 Nd 3.18
Zn (0.5000, 0.5000, 0.3454)  4 Dy 3.08, 4 Nd 3.21, 1 Zn 3.40
Zn (0.5000, 0.5000, 0.6546)  4 Dy 3.08, 4 Nd 3.21, 1 Zn 3.40

***

Entry 10:
VASP calculation (PBE) on a relaxed MnV6Cr5 crystal.

E_form: -0.1262 eV per atom
Magnetic moment: 0.0 μB per formula unit
Space group: Immm, No. 71

abc: 7.1417 7.1417 7.1417
angles: 146.67 132.00 59.69
Closest atoms and distances in Å follow each position.
Element x y z (fractional)
Mn (0.0000, 0.0000, 0.0000)  8 V 2.51-2.52
V (0.0834, 0.8340, 0.2494)  7 Cr 2.51-2.54, 1 Mn 2.52
V (0.2490, 0.5000, 0.7490)  2 Mn 2.51, 6 Cr 2.51-2.53
V (0.4154, 0.1660, 0.2494)  7 Cr 2.51-2.54, 1 Mn 2.52
V (0.5846, 0.8340, 0.7506)  7 Cr 2.51-2.54, 1 Mn 2.52
V (0.7510, 0.5000, 0.2510)  2 Mn 2.51, 6 Cr 2.51-2.53
V (0.9166, 0.1660, 0.7506)  7 Cr 2.51-2.54, 1 Mn 2.52
Cr (0.1664, 0.6664, 0.5000)  8 V 2.51-2.54
Cr (0.3336, 0.3336, 0.0000)  8 V 2.51-2.53
Cr (0.5000, 0.0000, 0.5000)  8 V 2.51-2.52
Cr (0.6664, 0.6664, 0.0000)  8 V 2.51-2.53
Cr (0.8336, 0.3336, 0.5000)  8 V 2.51-2.54

***

Entry 11:
VASP calculation (PBE) on a relaxed Cd3GeAs crystal.

Relative energy among the computed polymorphs: 0 meV per atom
E_form: 0.5118 eV per atom
Magnetic moment: 1.1 μB per formula unit
Space group: Pm-3m, No. 221

abc: 5.1638 5.1638 5.1638
angles: 90.00 90.00 90.00
Closest atoms and distances in Å follow each position.
Element x y z (fractional)
Cd (0.0000, 0.0000, 0.5000)  2 Ge 2.58
Cd (0.0000, 0.5000, 0.0000)  2 Ge 2.58
Cd (0.5000, 0.0000, 0.0000)  2 Ge 2.58
Ge (0.0000, 0.0000, 0.0000)  6 Cd 2.58
As (0.5000, 0.5000, 0.5000)  12 Cd 3.65

***

Entry 12:
VASP calculation (PBE) on a relaxed BaAc2Au2 crystal.

E_form: -0.5867 eV per atom
Magnetic moment: 0.0 μB per formula unit
Space group: P4/mbm, No. 127

abc: 8.9649 8.9649 4.2359
angles: 90.00 90.00 90.00
Closest atoms and distances in Å follow each position.
Element x y z (fractional)
Ba (0.0000, 0.0000, 0.0000)  4 Au 3.52
Ba (0.5000, 0.5000, 0.0000)  4 Au 3.52
Ac (0.1584, 0.3416, 0.5000)  6 Au 3.34-3.43
Ac (0.3416, 0.8416, 0.5000)  6 Au 3.34-3.43
Ac (0.6584, 0.1584, 0.5000)  6 Au 3.34-3.43
Ac (0.8416, 0.6584, 0.5000)  6 Au 3.34-3.43
Au (0.1289, 0.6289, 0.0000)  1 Au 3.27, 6 Ac 3.34-3.43, 2 Ba 3.52
Au (0.3711, 0.1289, 0.0000)  1 Au 3.27, 6 Ac 3.34-3.43, 2 Ba 3.52
Au (0.6289, 0.8711, 0.0000)  1 Au 3.27, 6 Ac 3.34-3.43, 2 Ba 3.52
Au (0.8711, 0.3711, 0.0000)  1 Au 3.27, 6 Ac 3.34-3.43, 2 Ba 3.52

***

Q: Which value of magnetic moment does entry 3 give?
A: 0.0 μB per formula unit

***

Q: Among the records above, which one has the highest magnetic moment?
A: VFeNi3